[1]
{
  "formula": "Y2Ga4PdAu3",
  "functional": "GGA-PBE",
  "state": "optimized geometry",
  "lattice_angstrom": [[4.290, 0.000, 0.000], [0.000, 4.290, 0.000], [0.000, 0.000, 10.762]],
  "species": ["Y", "Y", "Ga", "Ga", "Ga", "Ga", "Pd", "Au", "Au", "Au"],
  "fractional_positions": [[0.000, 0.500, 0.246], [0.500, 0.000, 0.754], [0.000, 0.000, 0.500], [0.000, 0.500, 0.871], [0.500, 0.000, 0.129], [0.500, 0.500, 0.500], [0.500, 0.500, 0.000], [0.000, 0.000, 0.000], [0.000, 0.500, 0.640], [0.500, 0.000, 0.360]],
  "formation_energy_kj_per_mol_fu": -628
}

---

[2]
{
  "formula": "Pm3Sm4ScSe8",
  "functional": "GGA-PBE",
  "state": "optimized geometry",
  "lattice_angstrom": [[4.154, 2.399, 6.770], [-4.154, 2.399, 6.770], [0.000, -4.797, 6.770]],
  "species": ["Pm", "Pm", "Pm", "Sm", "Sm", "Sm", "Sm", "Sc", "Se", "Se", "Se", "Se", "Se", "Se", "Se", "Se"],
  "fractional_positions": [[0.000, 0.500, 0.500], [0.500, 0.000, 0.500], [0.500, 0.500, 0.000], [0.000, 0.000, 0.500], [0.000, 0.500, 0.000], [0.500, 0.000, 0.000], [0.500, 0.500, 0.500], [0.000, 0.000, 0.000], [0.240, 0.758, 0.758], [0.242, 0.242, 0.760], [0.242, 0.760, 0.242], [0.249, 0.249, 0.249], [0.751, 0.751, 0.751], [0.758, 0.240, 0.758], [0.758, 0.758, 0.240], [0.760, 0.242, 0.242]],
  "formation_energy_uncorrected_kj_per_mol_atoms": -171.3
}

---

[3]
{
  "formula": "BaNb3V",
  "functional": "GGA-PBE",
  "state": "optimized geometry",
  "lattice_angstrom": [[4.923, 0.000, 0.000], [0.000, 4.923, 0.000], [0.000, 0.000, 4.923]],
  "species": ["Ba", "Nb", "Nb", "Nb", "V"],
  "fractional_positions": [[0.000, 0.000, 0.000], [0.000, 0.500, 0.500], [0.500, 0.000, 0.500], [0.500, 0.500, 0.000], [0.500, 0.500, 0.500]],
  "de_polymorph_mev_per_atom": 0,
  "formation_energy_kj_per_mol_fu": 508
}

---

[4]
{
  "formula": "Na3CoSe",
  "functional": "GGA-PBE",
  "state": "optimized geometry",
  "lattice_angstrom": [[5.306, 0.000, 0.000], [0.000, 5.306, 0.000], [0.000, 0.000, 5.306]],
  "species": ["Na", "Na", "Na", "Co", "Se"],
  "fractional_positions": [[0.000, 0.000, 0.500], [0.000, 0.500, 0.000], [0.500, 0.000, 0.000], [0.000, 0.000, 0.000], [0.500, 0.500, 0.500]],
  "formation_energy_uncorrected_kj_per_mol_atoms": 44.0,
  "de_polymorph_mev_per_atom": 296
}

---

[5]
{
  "formula": "DyHo3Tm4",
  "functional": "GGA-PBE",
  "state": "optimized geometry",
  "lattice_angstrom": [[2.770, -12.915, 0.000], [2.770, 12.915, 0.000], [0.000, 0.000, 3.506]],
  "species": ["Dy", "Ho", "Ho", "Ho", "Tm", "Tm", "Tm", "Tm"],
  "fractional_positions": [[0.000, 0.000, 0.000], [0.344, 0.656, 0.000], [0.500, 0.500, 0.500], [0.656, 0.344, 0.000], [0.104, 0.896, 0.500], [0.223, 0.777, 0.500], [0.777, 0.223, 0.500], [0.896, 0.104, 0.500]],
  "de_polymorph_mev_per_atom": 213,
  "formation_energy_kj_per_mol_fu": 164
}

---

[6]
{
  "formula": "Zn2NiAs",
  "functional": "GGA-PBE",
  "state": "optimized geometry",
  "lattice_angstrom": [[-1.883, 1.883, 4.028], [1.883, -1.883, 4.028], [1.883, 1.883, -4.028]],
  "species": ["Zn", "Zn", "Ni", "As"],
  "fractional_positions": [[0.250, 0.750, 0.500], [0.750, 0.250, 0.500], [0.000, 0.000, 0.000], [0.500, 0.500, 0.000]],
  "formation_energy_kj_per_mol_fu": 0
}

---

[7]
{
  "formula": "LaMg2Co2",
  "functional": "GGA-PBE",
  "state": "optimized geometry",
  "lattice_angstrom": [[-2.083, 2.083, 5.587], [2.083, -2.083, 5.587], [2.083, 2.083, -5.587]],
  "species": ["La", "Mg", "Mg", "Co", "Co"],
  "fractional_positions": [[0.000, 0.000, 0.000], [0.250, 0.750, 0.500], [0.750, 0.250, 0.500], [0.402, 0.402, 0.000], [0.598, 0.598, 0.000]],
  "de_polymorph_mev_per_atom": 0,
  "formation_energy_kj_per_mol_fu": 5
}

---

[8]
{
  "formula": "BaThS4",
  "functional": "GGA-PBE",
  "state": "optimized geometry",
  "lattice_angstrom": [[4.635, 0.000, 0.000], [0.000, 4.635, 0.000], [0.000, 0.000, 7.852]],
  "species": ["Ba", "Th", "S", "S", "S", "S"],
  "fractional_positions": [[0.000, 0.000, 0.000], [0.500, 0.500, 0.500], [0.000, 0.500, 0.282], [0.000, 0.500, 0.718], [0.500, 0.000, 0.282], [0.500, 0.000, 0.718]],
  "formation_energy_uncorrected_kj_per_mol_atoms": -139.6,
  "de_polymorph_mev_per_atom": 250
}

---

no.,magnetization (μB per formula unit)
1,0.00
2,0.00
3,0.61
4,2.00
5,0.00
6,0.00
7,0.23
8,0.00